# 1
! PBE CaTi3Mo, relaxed; values from VASP
&SYSTEM
  ibrav = 0, nat = 5, ntyp = 3
/
ATOMIC_SPECIES
Mo 95.94 Mo.upf
Ca 40.08 Ca.upf
Ti 47.87 Ti.upf
ATOMIC_POSITIONS crystal
Mo 0.500 0.500 0.500
Ca 0.000 0.000 0.000
Ti 0.000 0.500 0.000
Ti 0.000 0.000 0.500
Ti 0.500 0.000 0.000
CELL_PARAMETERS angstrom
-2.356 -3.811 -0.403
3.566 -2.353 1.408
-1.403 0.418 4.254
! offset from the most stable computed form: 129.1 kJ/mol of atoms
! calculated total energy: -27.1 eV per cell
! DFT formation energy: 1.883 eV/atom

# 2
! PBE CaTiMo3, relaxed; values from VASP
&SYSTEM
  ibrav = 0, nat = 5, ntyp = 3
/
ATOMIC_SPECIES
Mo 95.94 Mo.upf
Ca 40.08 Ca.upf
Ti 47.87 Ti.upf
ATOMIC_POSITIONS crystal
Mo 0.000 0.500 0.000
Mo 0.000 0.000 0.500
Mo 0.500 0.000 0.000
Ca 0.500 0.500 0.500
Ti 0.000 0.000 0.000
CELL_PARAMETERS angstrom
4.712 0.000 0.000
0.000 4.712 0.000
0.000 0.000 4.712
! offset from the most stable computed form: 0.0 kJ/mol of atoms
! calculated total energy: -36.2 eV per cell
! DFT formation energy: 1.230 eV/atom

# 3
! PBE CaTi2Mo, relaxed; values from VASP
&SYSTEM
  ibrav = 0, nat = 8, ntyp = 3
/
ATOMIC_SPECIES
Mo 95.94 Mo.upf
Ca 40.08 Ca.upf
Ti 47.87 Ti.upf
ATOMIC_POSITIONS crystal
Mo 0.000 0.000 0.000
Mo 0.750 0.250 0.500
Ca 0.500 0.500 0.000
Ca 0.250 0.750 0.500
Ti 0.662 0.125 0.250
Ti 0.088 0.625 0.250
Ti 0.375 0.338 0.750
Ti 0.875 0.912 0.750
CELL_PARAMETERS angstrom
-3.876 0.375 -1.370
0.960 -2.243 -3.330
-3.897 -8.959 2.353
! offset from the most stable computed form: 48.0 kJ/mol of atoms
! calculated total energy: -49.6 eV per cell
! DFT formation energy: 0.958 eV/atom

# 4
! PBE CaTi3Mo, relaxed; values from VASP
&SYSTEM
  ibrav = 0, nat = 5, ntyp = 3
/
ATOMIC_SPECIES
Mo 95.94 Mo.upf
Ca 40.08 Ca.upf
Ti 47.87 Ti.upf
ATOMIC_POSITIONS crystal
Mo 0.000 0.000 0.000
Ca 0.500 0.500 0.500
Ti 0.000 0.500 0.000
Ti 0.000 0.000 0.500
Ti 0.500 0.000 0.000
CELL_PARAMETERS angstrom
4.873 0.000 0.000
0.000 4.873 0.000
0.000 0.000 4.873
! offset from the most stable computed form: 0.0 kJ/mol of atoms
! calculated total energy: -33.8 eV per cell
! DFT formation energy: 0.544 eV/atom

# 5
! PBE CaYTi2Mo, relaxed; values from VASP
&SYSTEM
  ibrav = 0, nat = 5, ntyp = 4
/
ATOMIC_SPECIES
Y 88.91 Y.upf
Mo 95.94 Mo.upf
Ca 40.08 Ca.upf
Ti 47.87 Ti.upf
ATOMIC_POSITIONS crystal
Y 0.500 0.500 0.500
Mo 0.000 0.500 0.000
Ca 0.000 0.000 0.000
Ti 0.000 0.000 0.500
Ti 0.500 0.000 0.000
CELL_PARAMETERS angstrom
4.922 0.000 0.000
0.000 4.732 0.000
0.000 0.000 4.922
! calculated total energy: -27.3 eV per cell
! DFT formation energy: 1.560 eV/atom

# 6
! PBE CaZrTi2Mo, relaxed; values from VASP
&SYSTEM
  ibrav = 0, nat = 5, ntyp = 4
/
ATOMIC_SPECIES
Mo 95.94 Mo.upf
Ca 40.08 Ca.upf
Zr 91.22 Zr.upf
Ti 47.87 Ti.upf
ATOMIC_POSITIONS crystal
Mo 0.500 0.500 0.500
Ca 0.000 0.000 0.000
Zr 0.000 0.500 0.000
Ti 0.000 0.000 0.500
Ti 0.500 0.000 0.000
CELL_PARAMETERS angstrom
-2.320 2.924 -2.445
-3.003 0.914 3.943
2.732 3.272 1.321
! calculated total energy: -27.5 eV per cell
! DFT formation energy: 1.925 eV/atom

# 7
! PBE Ca2TlMo, relaxed; values from VASP
&SYSTEM
  ibrav = 0, nat = 4, ntyp = 3
/
ATOMIC_SPECIES
Tl 204.38 Tl.upf
Ca 40.08 Ca.upf
Mo 95.94 Mo.upf
ATOMIC_POSITIONS crystal
Tl 0.500 0.500 0.722
Ca 0.000 0.000 0.963
Ca 0.500 0.500 0.294
Mo 0.000 0.000 0.521
CELL_PARAMETERS angstrom
-2.249 -2.292 0.318
0.399 -0.195 -3.196
7.261 -6.941 1.329
! offset from the most stable computed form: 9.0 kJ/mol of atoms
! calculated total energy: -15.2 eV per cell
! DFT formation energy: 0.497 eV/atom

# 8
! PBE CaTlMo3, relaxed; values from VASP
&SYSTEM
  ibrav = 0, nat = 5, ntyp = 3
/
ATOMIC_SPECIES
Tl 204.38 Tl.upf
Ca 40.08 Ca.upf
Mo 95.94 Mo.upf
ATOMIC_POSITIONS crystal
Tl 0.000 0.000 0.000
Ca 0.500 0.500 0.500
Mo 0.000 0.500 0.000
Mo 0.000 0.000 0.500
Mo 0.500 0.000 0.000
CELL_PARAMETERS angstrom
-4.120 2.701 -1.234
-2.120 -1.198 4.457
2.079 4.131 2.099
! offset from the most stable computed form: 0.0 kJ/mol of atoms
! calculated total energy: -25.7 eV per cell
! DFT formation energy: 2.223 eV/atom

# 9
! PBE Ca2TlMo, relaxed; values from VASP
&SYSTEM
  ibrav = 0, nat = 4, ntyp = 3
/
ATOMIC_SPECIES
Tl 204.38 Tl.upf
Ca 40.08 Ca.upf
Mo 95.94 Mo.upf
ATOMIC_POSITIONS crystal
Tl 0.500 0.500 0.500
Ca 0.250 0.250 0.250
Ca 0.750 0.750 0.750
Mo 0.000 0.000 0.000
CELL_PARAMETERS angstrom
1.978 -4.139 -2.771
-0.668 -5.000 1.809
-3.318 -3.350 -2.547
! offset from the most stable computed form: 8.6 kJ/mol of atoms
! calculated total energy: -15.2 eV per cell
! DFT formation energy: 0.493 eV/atom

# 10
! PBE Ca2TlMo, relaxed; values from VASP
&SYSTEM
  ibrav = 0, nat = 4, ntyp = 3
/
ATOMIC_SPECIES
Tl 204.38 Tl.upf
Ca 40.08 Ca.upf
Mo 95.94 Mo.upf
ATOMIC_POSITIONS crystal
Tl 0.276 0.776 0.500
Ca 0.018 0.018 0.000
Ca 0.731 0.231 0.500
Mo 0.474 0.474 0.000
CELL_PARAMETERS angstrom
6.298 0.009 -0.006
2.985 5.545 0.006
-4.119 -3.649 3.061
! offset from the most stable computed form: 3.7 kJ/mol of atoms
! calculated total energy: -15.4 eV per cell
! DFT formation energy: 0.442 eV/atom

# 11
! PBE Ca2TlMo, relaxed; values from VASP
&SYSTEM
  ibrav = 0, nat = 4, ntyp = 3
/
ATOMIC_SPECIES
Tl 204.38 Tl.upf
Ca 40.08 Ca.upf
Mo 95.94 Mo.upf
ATOMIC_POSITIONS crystal
Tl 0.500 0.500 0.750
Ca 0.000 0.000 0.014
Ca 0.000 0.000 0.486
Mo 0.500 0.500 0.250
CELL_PARAMETERS angstrom
3.768 0.000 0.000
0.000 3.824 0.000
0.000 0.000 7.407
! offset from the most stable computed form: 4.7 kJ/mol of atoms
! calculated total energy: -15.4 eV per cell
! DFT formation energy: 0.452 eV/atom

# 12
! PBE CaTlMo2, relaxed; values from VASP
&SYSTEM
  ibrav = 0, nat = 4, ntyp = 3
/
ATOMIC_SPECIES
Mo 95.94 Mo.upf
Tl 204.38 Tl.upf
Ca 40.08 Ca.upf
ATOMIC_POSITIONS crystal
Mo 0.000 0.942 0.056
Mo 0.500 0.294 0.209
Tl 0.000 0.536 0.465
Ca 0.500 0.728 0.771
CELL_PARAMETERS angstrom
3.320 0.000 0.000
0.000 3.335 0.006
0.000 3.326 7.742
! offset from the most stable computed form: 0.0 kJ/mol of atoms
! calculated total energy: -24.9 eV per cell
! DFT formation energy: 0.283 eV/atom

# 13
! PBE Ca3TlMo, relaxed; values from VASP
&SYSTEM
  ibrav = 0, nat = 5, ntyp = 3
/
ATOMIC_SPECIES
Tl 204.38 Tl.upf
Ca 40.08 Ca.upf
Mo 95.94 Mo.upf
ATOMIC_POSITIONS crystal
Tl 0.000 0.000 0.000
Ca 0.000 0.500 0.000
Ca 0.000 0.000 0.500
Ca 0.500 0.000 0.000
Mo 0.500 0.500 0.500
CELL_PARAMETERS angstrom
5.905 0.000 0.000
0.000 5.905 0.000
0.000 0.000 5.905
! offset from the most stable computed form: 18.3 kJ/mol of atoms
! calculated total energy: -14.8 eV per cell
! DFT formation energy: 0.877 eV/atom

# 14
! PBE CaTlMo2, relaxed; values from VASP
&SYSTEM
  ibrav = 0, nat = 8, ntyp = 3
/
ATOMIC_SPECIES
Tl 204.38 Tl.upf
Ca 40.08 Ca.upf
Mo 95.94 Mo.upf
ATOMIC_POSITIONS crystal
Tl 0.000 0.000 0.000
Tl 0.750 0.250 0.500
Ca 0.500 0.500 0.000
Ca 0.250 0.750 0.500
Mo 0.658 0.125 0.250
Mo 0.092 0.625 0.250
Mo 0.375 0.342 0.750
Mo 0.875 0.908 0.750
CELL_PARAMETERS angstrom
8.120 0.000 0.000
0.000 8.120 0.000
4.060 4.060 2.733
! offset from the most stable computed form: 90.7 kJ/mol of atoms
! calculated total energy: -42.3 eV per cell
! DFT formation energy: 1.223 eV/atom

# 15
! PBE CaTlMo2, relaxed; values from VASP
&SYSTEM
  ibrav = 0, nat = 4, ntyp = 3
/
ATOMIC_SPECIES
Tl 204.38 Tl.upf
Ca 40.08 Ca.upf
Mo 95.94 Mo.upf
ATOMIC_POSITIONS crystal
Tl 0.750 0.750 0.750
Ca 0.500 0.500 0.500
Mo 0.000 0.000 0.000
Mo 0.250 0.250 0.250
CELL_PARAMETERS angstrom
-1.174 3.890 2.575
-4.085 0.060 2.539
0.152 -0.160 4.805
! offset from the most stable computed form: 31.9 kJ/mol of atoms
! calculated total energy: -23.6 eV per cell
! DFT formation energy: 0.614 eV/atom

# 16
! PBE CaTlMo2, relaxed; values from VASP
&SYSTEM
  ibrav = 0, nat = 4, ntyp = 3
/
ATOMIC_SPECIES
Tl 204.38 Tl.upf
Ca 40.08 Ca.upf
Mo 95.94 Mo.upf
ATOMIC_POSITIONS crystal
Tl 0.500 0.250 0.250
Ca 0.500 0.750 0.750
Mo 0.000 0.099 0.964
Mo 0.000 0.401 0.536
CELL_PARAMETERS angstrom
5.205 0.000 0.000
0.000 2.972 -0.006
0.000 0.386 5.390
! offset from the most stable computed form: 36.5 kJ/mol of atoms
! calculated total energy: -23.4 eV per cell
! DFT formation energy: 0.662 eV/atom

# 17
! PBE Ca2TlMo, relaxed; values from VASP
&SYSTEM
  ibrav = 0, nat = 4, ntyp = 3
/
ATOMIC_SPECIES
Tl 204.38 Tl.upf
Ca 40.08 Ca.upf
Mo 95.94 Mo.upf
ATOMIC_POSITIONS crystal
Tl 0.750 0.750 0.750
Ca 0.994 0.994 0.994
Ca 0.506 0.506 0.506
Mo 0.250 0.250 0.250
CELL_PARAMETERS angstrom
-4.879 3.588 8.748
-7.563 2.540 7.040
-5.813 0.375 8.903
! offset from the most stable computed form: 10.4 kJ/mol of atoms
! calculated total energy: -15.2 eV per cell
! DFT formation energy: 0.512 eV/atom

# 18
! PBE CaTlMo, relaxed; values from VASP
&SYSTEM
  ibrav = 0, nat = 3, ntyp = 3
/
ATOMIC_SPECIES
Tl 204.38 Tl.upf
Ca 40.08 Ca.upf
Mo 95.94 Mo.upf
ATOMIC_POSITIONS crystal
Tl 0.333 0.667 0.646
Ca 0.000 0.000 0.015
Mo 0.667 0.333 0.339
CELL_PARAMETERS angstrom
-0.866 -2.960 -0.994
2.700 0.397 1.746
-3.986 -0.980 6.386
! offset from the most stable computed form: 10.7 kJ/mol of atoms
! calculated total energy: -13.3 eV per cell
! DFT formation energy: 0.649 eV/atom

# 19
! PBE CaTl3Mo, relaxed; values from VASP
&SYSTEM
  ibrav = 0, nat = 5, ntyp = 3
/
ATOMIC_SPECIES
Tl 204.38 Tl.upf
Ca 40.08 Ca.upf
Mo 95.94 Mo.upf
ATOMIC_POSITIONS crystal
Tl 0.000 0.500 0.000
Tl 0.000 0.000 0.500
Tl 0.500 0.000 0.000
Ca 0.500 0.500 0.500
Mo 0.000 0.000 0.000
CELL_PARAMETERS angstrom
5.375 0.000 0.000
0.000 5.375 0.000
0.000 0.000 5.375
! offset from the most stable computed form: 0.0 kJ/mol of atoms
! calculated total energy: -18.2 eV per cell
! DFT formation energy: 0.355 eV/atom

# 20
! PBE Ca2TlMo, relaxed; values from VASP
&SYSTEM
  ibrav = 0, nat = 8, ntyp = 3
/
ATOMIC_SPECIES
Tl 204.38 Tl.upf
Ca 40.08 Ca.upf
Mo 95.94 Mo.upf
ATOMIC_POSITIONS crystal
Tl 0.000 0.000 0.000
Tl 0.750 0.250 0.500
Ca 0.617 0.125 0.250
Ca 0.133 0.625 0.250
Ca 0.375 0.383 0.750
Ca 0.875 0.867 0.750
Mo 0.500 0.500 0.000
Mo 0.250 0.750 0.500
CELL_PARAMETERS angstrom
-2.407 -3.595 -0.438
2.270 -1.088 -3.546
6.955 -7.796 4.178
! offset from the most stable computed form: 40.9 kJ/mol of atoms
! calculated total energy: -27.8 eV per cell
! DFT formation energy: 0.828 eV/atom

# 21
! PBE Ca2TlMo, relaxed; values from VASP
&SYSTEM
  ibrav = 0, nat = 4, ntyp = 3
/
ATOMIC_SPECIES
Tl 204.38 Tl.upf
Ca 40.08 Ca.upf
Mo 95.94 Mo.upf
ATOMIC_POSITIONS crystal
Tl 0.500 0.500 0.695
Ca 0.000 0.000 0.938
Ca 0.500 0.500 0.313
Mo 0.000 0.000 0.553
CELL_PARAMETERS angstrom
-2.461 -2.666 0.736
2.254 -1.359 2.616
-3.542 4.800 5.546
! offset from the most stable computed form: 4.0 kJ/mol of atoms
! calculated total energy: -15.4 eV per cell
! DFT formation energy: 0.445 eV/atom

# 22
! PBE CaTlMo2, relaxed; values from VASP
&SYSTEM
  ibrav = 0, nat = 4, ntyp = 3
/
ATOMIC_SPECIES
Tl 204.38 Tl.upf
Ca 40.08 Ca.upf
Mo 95.94 Mo.upf
ATOMIC_POSITIONS crystal
Tl 0.250 0.750 0.500
Ca 0.750 0.250 0.500
Mo 0.000 0.000 0.000
Mo 0.500 0.500 0.000
CELL_PARAMETERS angstrom
5.632 -0.008 0.000
2.680 4.953 0.000
-4.156 -2.472 2.886
! offset from the most stable computed form: 45.6 kJ/mol of atoms
! calculated total energy: -23.0 eV per cell
! DFT formation energy: 0.756 eV/atom

# 23
! PBE CaTlMo2, relaxed; values from VASP
&SYSTEM
  ibrav = 0, nat = 4, ntyp = 3
/
ATOMIC_SPECIES
Tl 204.38 Tl.upf
Ca 40.08 Ca.upf
Mo 95.94 Mo.upf
ATOMIC_POSITIONS crystal
Tl 0.500 0.500 0.000
Ca 0.500 0.000 0.500
Mo 0.000 0.000 0.000
Mo 0.000 0.500 0.500
CELL_PARAMETERS angstrom
-0.067 -4.167 -2.395
4.056 -0.216 0.262
-0.334 -2.017 3.519
! offset from the most stable computed form: 42.6 kJ/mol of atoms
! calculated total energy: -23.1 eV per cell
! DFT formation energy: 0.725 eV/atom

# 24
! PBE Ca2TlMo, relaxed; values from VASP
&SYSTEM
  ibrav = 0, nat = 4, ntyp = 3
/
ATOMIC_SPECIES
Tl 204.38 Tl.upf
Ca 40.08 Ca.upf
Mo 95.94 Mo.upf
ATOMIC_POSITIONS crystal
Tl 0.500 0.750 0.750
Ca 0.000 0.989 0.011
Ca 0.000 0.511 0.489
Mo 0.500 0.250 0.250
CELL_PARAMETERS angstrom
-2.751 -3.783 -0.501
1.850 -1.022 -2.437
5.604 -4.313 1.788
! offset from the most stable computed form: 7.5 kJ/mol of atoms
! calculated total energy: -15.3 eV per cell
! DFT formation energy: 0.482 eV/atom

# 25
! PBE Ca2TlMo, relaxed; values from VASP
&SYSTEM
  ibrav = 0, nat = 4, ntyp = 3
/
ATOMIC_SPECIES
Tl 204.38 Tl.upf
Ca 40.08 Ca.upf
Mo 95.94 Mo.upf
ATOMIC_POSITIONS crystal
Tl 0.500 0.500 0.750
Ca 0.000 0.000 0.015
Ca 0.000 0.000 0.485
Mo 0.500 0.500 0.250
CELL_PARAMETERS angstrom
-1.113 -2.362 1.743
-1.413 -1.088 -2.584
8.125 -5.421 -2.160
! offset from the most stable computed form: 0.0 kJ/mol of atoms
! calculated total energy: -15.6 eV per cell
! DFT formation energy: 0.404 eV/atom

# 26
! PBE CaTlMo2, relaxed; values from VASP
&SYSTEM
  ibrav = 0, nat = 4, ntyp = 3
/
ATOMIC_SPECIES
Tl 204.38 Tl.upf
Ca 40.08 Ca.upf
Mo 95.94 Mo.upf
ATOMIC_POSITIONS crystal
Tl 0.500 0.500 0.250
Ca 0.500 0.500 0.750
Mo 0.000 0.000 0.014
Mo 0.000 0.000 0.486
CELL_PARAMETERS angstrom
2.891 0.021 0.000
-0.637 2.820 0.000
0.000 0.000 9.895
! offset from the most stable computed form: 56.4 kJ/mol of atoms
! calculated total energy: -22.6 eV per cell
! DFT formation energy: 0.867 eV/atom

# 27
! PBE CaTlMo, relaxed; values from VASP
&SYSTEM
  ibrav = 0, nat = 3, ntyp = 3
/
ATOMIC_SPECIES
Tl 204.38 Tl.upf
Ca 40.08 Ca.upf
Mo 95.94 Mo.upf
ATOMIC_POSITIONS crystal
Tl 0.500 0.500 0.500
Ca 0.750 0.750 0.750
Mo 0.000 0.000 0.000
CELL_PARAMETERS angstrom
-3.372 3.148 -1.919
-3.934 -1.781 -2.513
-4.573 0.281 1.993
! offset from the most stable computed form: 67.1 kJ/mol of atoms
! calculated total energy: -11.5 eV per cell
! DFT formation energy: 1.234 eV/atom

# 28
! PBE Ca2TlMo, relaxed; values from VASP
&SYSTEM
  ibrav = 0, nat = 4, ntyp = 3
/
ATOMIC_SPECIES
Tl 204.38 Tl.upf
Ca 40.08 Ca.upf
Mo 95.94 Mo.upf
ATOMIC_POSITIONS crystal
Tl 0.218 0.218 0.224
Ca 0.975 0.975 0.059
Ca 0.777 0.777 0.685
Mo 0.530 0.530 0.531
CELL_PARAMETERS angstrom
-0.726 -3.232 5.124
2.299 -3.828 4.158
1.988 3.236 4.225
! offset from the most stable computed form: 2.1 kJ/mol of atoms
! calculated total energy: -15.5 eV per cell
! DFT formation energy: 0.425 eV/atom

# 29
! PBE Ca4TlMo, relaxed; values from VASP
&SYSTEM
  ibrav = 0, nat = 6, ntyp = 3
/
ATOMIC_SPECIES
Ca 40.08 Ca.upf
Tl 204.38 Tl.upf
Mo 95.94 Mo.upf
ATOMIC_POSITIONS crystal
Ca 0.375 0.874 0.375
Ca 0.874 0.375 0.375
Ca 0.375 0.375 0.874
Ca 0.375 0.375 0.375
Tl 0.000 0.000 0.000
Mo 0.750 0.750 0.750
CELL_PARAMETERS angstrom
0.000 4.619 4.619
4.619 0.000 4.619
4.619 4.619 0.000
! calculated total energy: -16.3 eV per cell
! DFT formation energy: 0.819 eV/atom

# 30
! PBE CaTlMo2, relaxed; values from VASP
&SYSTEM
  ibrav = 0, nat = 4, ntyp = 3
/
ATOMIC_SPECIES
Tl 204.38 Tl.upf
Ca 40.08 Ca.upf
Mo 95.94 Mo.upf
ATOMIC_POSITIONS crystal
Tl 0.500 0.500 0.250
Ca 0.500 0.500 0.750
Mo 0.000 0.000 0.961
Mo 0.000 0.000 0.539
CELL_PARAMETERS angstrom
-1.872 -1.111 -1.842
1.483 -4.659 1.303
-4.069 -0.119 4.207
! offset from the most stable computed form: 51.5 kJ/mol of atoms
! calculated total energy: -22.8 eV per cell
! DFT formation energy: 0.817 eV/atom